The following is a PBEsol calculation of crystalline Sc2AlCd at its relaxed geometry, from Alexandria via LeMat-Bulk.

abc: 3.159 3.159 7.947
angles: 90.00 90.00 90.00
Space group P4/mmm (No. 123)
One atom of each set of equivalent atoms:
Sc 0.000 0.000 0.238
Al 0.500 0.500 0.000
Cd 0.500 0.500 0.500

Summary:
Its total magnetization is 0.0 Bohr magnetons per cell. The calculation puts the energy above the lowest structure with this stoichiometry at 0.0000 eV/atom. The calculation puts the energy of formation at -0.40 eV/atom.

The following is a PBEsol calculation of crystalline ScAlCd2 at its relaxed geometry, from Alexandria via LeMat-Bulk.

abc: 6.773 6.773 6.773
angles: 90.00 90.00 90.00
Space group F-43m (No. 216)
One atom of each set of equivalent atoms:
Sc 0.000 0.000 0.000
Al 0.250 0.250 0.250
Cd 0.000 0.000 0.500
Cd 0.250 0.250 0.750

Summary:
Its total magnetization is 0.0 Bohr magnetons per cell. The calculation puts the energy of formation at -0.16 eV/atom.

The following is a PBEsol calculation of crystalline Sc3AlCd at its relaxed geometry, from Alexandria via LeMat-Bulk.

abc: 5.155 5.155 5.155
angles: 90.00 90.00 90.00
Space group Pm-3m (No. 221)
One atom of each set of equivalent atoms:
Sc 0.000 0.000 0.500
Al 0.500 0.500 0.500
Cd 0.000 0.000 0.000

Summary:
Its total magnetization is 0.0 Bohr magnetons per cell. The calculation puts the energy of formation at 0.55 eV/atom.

The following is a PBEsol calculation of crystalline Sc2AlCd at its relaxed geometry, from Alexandria via LeMat-Bulk.

abc: 3.2342 3.2342 27.9922
angles: 90.00 90.00 120.00
Space group R-3m (No. 166, hexagonal axes)
One atom of each set of equivalent atoms:
Sc 0.0000 0.0000 0.2460
Al 0.0000 0.0000 0.5000
Cd 0.0000 0.0000 0.0000

Summary:
Its total magnetization is 0.0 Bohr magnetons per cell. The calculation puts the energy above the lowest structure with this stoichiometry at 0.1981 eV/atom. The calculation puts the energy of formation at -0.20 eV/atom.

The following is a PBEsol calculation of crystalline ScAlCd2 at its relaxed geometry, from Alexandria via LeMat-Bulk.

abc: 4.239 4.239 4.318
angles: 90.00 90.00 90.00
Space group P4/mmm (No. 123)
One atom of each set of equivalent atoms:
Sc 0.000 0.000 0.000
Al 0.500 0.500 0.000
Cd 0.000 0.500 0.500

Summary:
Its total magnetization is 0.0 Bohr magnetons per cell. The calculation puts the energy of formation at -0.28 eV/atom.

The following is a PBEsol calculation of crystalline Sc2AlCd at its relaxed geometry, from Alexandria via LeMat-Bulk.

abc: 3.117 4.073 6.273
angles: 90.00 90.00 90.00
Space group Pmmm (No. 47)
One atom of each set of equivalent atoms:
Sc 0.000 0.000 0.240
Al 0.500 0.500 0.000
Cd 0.500 0.500 0.500

Summary:
Its total magnetization is 0.2 Bohr magnetons per cell. The calculation puts the energy above the lowest structure with this stoichiometry at 0.0230 eV/atom. The calculation puts the energy of formation at -0.37 eV/atom.

The following is a PBEsol calculation of crystalline Sc2AlCdTe at its relaxed geometry, from Alexandria via LeMat-Bulk.

abc: 5.306 5.306 4.676
angles: 90.00 90.00 90.00
Space group P4/mmm (No. 123)
One atom of each set of equivalent atoms:
Sc 0.000 0.500 0.000
Al 0.000 0.000 0.500
Cd 0.000 0.000 0.000
Te 0.500 0.500 0.500

Summary:
The uncorrected formation energy is 0.19 eV per atom. Its total magnetization is 0.0 Bohr magnetons per cell.

The following is a PBEsol calculation of crystalline AlCdSe3 at its relaxed geometry, from Alexandria via LeMat-Bulk.

abc: 4.853 4.853 4.853
angles: 90.00 90.00 90.00
Space group Pm-3m (No. 221)
One atom of each set of equivalent atoms:
Al 0.000 0.000 0.000
Cd 0.500 0.500 0.500
Se 0.000 0.000 0.500

Summary:
The uncorrected formation energy is 0.01 eV per atom. Its total magnetization is 0.0 Bohr magnetons per cell.

The following is a PBEsol calculation of crystalline AlCdSe4 at its relaxed geometry, from Alexandria via LeMat-Bulk.

abc: 8.097 8.097 8.097
angles: 90.00 90.00 90.00
Space group F-43m (No. 216)
One atom of each set of equivalent atoms:
Al 0.000 0.000 0.000
Cd 0.250 0.250 0.750
Se 0.125 0.125 0.375

Summary:
The uncorrected formation energy is 0.40 eV per atom. Its total magnetization is 0.0 Bohr magnetons per cell.

The following is a PBEsol calculation of crystalline AlCd2Si at its relaxed geometry, from Alexandria via LeMat-Bulk.

abc: 9.139 2.977 5.672
angles: 90.00 101.41 90.00
Space group Cm (No. 8)
One atom of each set of equivalent atoms:
Al 0.000 0.000 0.000
Cd 0.249 0.000 0.731
Cd 0.492 0.000 0.472
Si 0.242 0.500 0.192

Summary:
The uncorrected formation energy is 0.25 eV per atom. Its total magnetization is 0.0 Bohr magnetons per cell.

The following is a PBEsol calculation of crystalline AlCdSi2 at its relaxed geometry, from Alexandria via LeMat-Bulk.

abc: 2.794 2.794 8.772
angles: 90.00 90.00 90.00
Space group P4/mmm (No. 123)
One atom of each set of equivalent atoms:
Al 0.000 0.000 0.000
Cd 0.000 0.000 0.500
Si 0.500 0.500 0.222

Summary:
The uncorrected formation energy is 0.31 eV per atom. Its total magnetization is 0.0 Bohr magnetons per cell.

The following is a PBEsol calculation of crystalline AlCdSi3 at its relaxed geometry, from Alexandria via LeMat-Bulk.

abc: 4.726 4.726 4.726
angles: 90.00 90.00 90.00
Space group Pm-3m (No. 221)
One atom of each set of equivalent atoms:
Al 0.000 0.000 0.000
Cd 0.500 0.500 0.500
Si 0.000 0.000 0.500

Summary:
The uncorrected formation energy is 0.86 eV per atom. Its total magnetization is 0.0 Bohr magnetons per cell.

The following is a PBEsol calculation of crystalline Sm2AlCd at its relaxed geometry, from Alexandria via LeMat-Bulk.

abc: 7.389 7.389 7.389
angles: 90.00 90.00 90.00
Space group Fm-3m (No. 225)
One atom of each set of equivalent atoms:
Sm 0.250 0.250 0.250
Al 0.000 0.000 0.000
Cd 0.000 0.000 0.500

Summary:
Its total magnetization is 0.0 Bohr magnetons per cell. The calculation puts the energy of formation at -0.35 eV/atom.

The following is a PBEsol calculation of crystalline AlCdSn3 at its relaxed geometry, from Alexandria via LeMat-Bulk.

abc: 5.393 5.393 5.393
angles: 90.00 90.00 90.00
Space group Pm-3m (No. 221)
One atom of each set of equivalent atoms:
Al 0.000 0.000 0.000
Cd 0.500 0.500 0.500
Sn 0.000 0.500 0.500

Summary:
Its total magnetization is 0.0 Bohr magnetons per cell. The calculation puts the energy of formation at 0.74 eV/atom.

The following is a PBEsol calculation of crystalline Sr2AlCd at its relaxed geometry, from Alexandria via LeMat-Bulk.

abc: 3.843 5.577 5.662
angles: 90.00 90.00 90.00
Space group Pmm2 (No. 25)
One atom of each set of equivalent atoms:
Sr 0.000 0.000 0.000
Sr 0.000 0.500 0.462
Al 0.500 0.500 0.947
Cd 0.500 0.000 0.521

Summary:
Its total magnetization is 0.0 Bohr magnetons per cell. The calculation puts the energy of formation at -0.21 eV/atom.

The following is a PBEsol calculation of crystalline Sr2AlCd at its relaxed geometry, from Alexandria via LeMat-Bulk.

abc: 3.890 3.890 8.028
angles: 90.00 90.00 90.00
Space group P4/mmm (No. 123)
One atom of each set of equivalent atoms:
Sr 0.000 0.000 0.245
Al 0.500 0.500 0.000
Cd 0.500 0.500 0.500

Summary:
Its total magnetization is 0.0 Bohr magnetons per cell. The calculation puts the energy of formation at -0.20 eV/atom.

The following is a PBEsol calculation of crystalline SrAl2Cd at its relaxed geometry, from Alexandria via LeMat-Bulk.

abc: 4.496 4.496 4.601
angles: 90.00 90.00 90.00
Space group P4/mmm (No. 123)
One atom of each set of equivalent atoms:
Sr 0.000 0.000 0.000
Al 0.000 0.500 0.500
Cd 0.500 0.500 0.000

Summary:
Its total magnetization is 0.0 Bohr magnetons per cell. The calculation puts the energy of formation at -0.02 eV/atom.

The following is a PBEsol calculation of crystalline SrAlCd3 at its relaxed geometry, from Alexandria via LeMat-Bulk.

abc: 5.168 5.168 5.168
angles: 90.00 90.00 90.00
Space group Pm-3m (No. 221)
One atom of each set of equivalent atoms:
Sr 0.000 0.000 0.000
Al 0.500 0.500 0.500
Cd 0.000 0.500 0.500

Summary:
Its total magnetization is 0.0 Bohr magnetons per cell. The calculation puts the energy of formation at 0.05 eV/atom.

The following is a PBEsol calculation of crystalline SrAl2Cd at its relaxed geometry, from Alexandria via LeMat-Bulk.

abc: 3.522 3.522 7.483
angles: 90.00 90.00 90.00
Space group P4mm (No. 99)
One atom of each set of equivalent atoms:
Sr 0.000 0.000 0.000
Al 0.000 0.000 0.480
Al 0.500 0.500 0.302
Cd 0.500 0.500 0.692

Summary:
Its total magnetization is 0.0 Bohr magnetons per cell. The calculation puts the energy of formation at -0.08 eV/atom.

The following is a PBEsol calculation of crystalline SrAl2Cd at its relaxed geometry, from Alexandria via LeMat-Bulk.

abc: 4.986 4.986 18.622
angles: 90.00 90.00 90.00
Space group I-42d (No. 122)
One atom of each set of equivalent atoms:
Sr 0.000 0.000 0.000
Al 0.060 0.250 0.625
Cd 0.000 0.000 0.500

Summary:
Its total magnetization is 0.0 Bohr magnetons per cell. The calculation puts the energy of formation at 0.08 eV/atom.

The following is a PBEsol calculation of crystalline TaAl2Cd at its relaxed geometry, from Alexandria via LeMat-Bulk.

abc: 6.537 6.537 6.537
angles: 90.00 90.00 90.00
Space group F-43m (No. 216)
One atom of each set of equivalent atoms:
Ta 0.000 0.000 0.000
Al 0.000 0.000 0.500
Al 0.250 0.250 0.250
Cd 0.250 0.250 0.750

Summary:
Its total magnetization is 3.7 Bohr magnetons per cell. The calculation puts the energy of formation at 0.45 eV/atom.

The following is a PBEsol calculation of crystalline TaAl2Cd at its relaxed geometry, from Alexandria via LeMat-Bulk.

abc: 2.9579 2.9579 27.9962
angles: 90.00 90.00 120.00
Space group R-3m (No. 166, hexagonal axes)
One atom of each set of equivalent atoms:
Ta 0.0000 0.0000 0.0000
Al 0.0000 0.0000 0.2533
Cd 0.0000 0.0000 0.5000

Summary:
Its total magnetization is 0.0 Bohr magnetons per cell. The calculation puts the energy of formation at -0.01 eV/atom.

The following is a PBEsol calculation of crystalline TaAl2Cd at its relaxed geometry, from Alexandria via LeMat-Bulk.

abc: 3.032 4.877 9.380
angles: 90.00 90.00 90.00
Space group Immm (No. 71)
One atom of each set of equivalent atoms:
Ta 0.000 0.000 0.000
Al 0.000 0.500 0.255
Cd 0.000 0.000 0.500

Summary:
Its total magnetization is 0.0 Bohr magnetons per cell. The calculation puts the energy of formation at 0.11 eV/atom.

The following is a PBEsol calculation of crystalline TaAl2Cd at its relaxed geometry, from Alexandria via LeMat-Bulk.

abc: 2.854 2.854 8.624
angles: 90.00 90.00 90.00
Space group P4/mmm (No. 123)
One atom of each set of equivalent atoms:
Ta 0.000 0.000 0.000
Al 0.500 0.500 0.231
Cd 0.000 0.000 0.500

Summary:
Its total magnetization is 0.0 Bohr magnetons per cell. The calculation puts the energy of formation at 0.00 eV/atom.

The following is a PBEsol calculation of crystalline TaAl2Cd at its relaxed geometry, from Alexandria via LeMat-Bulk.

abc: 4.856 4.856 2.925
angles: 90.00 90.00 90.00
Space group P4/mmm (No. 123)
One atom of each set of equivalent atoms:
Ta 0.000 0.000 0.000
Al 0.000 0.500 0.500
Cd 0.500 0.500 0.000

Summary:
Its total magnetization is 0.0 Bohr magnetons per cell. The calculation puts the energy of formation at 0.07 eV/atom.

The following is a PBEsol calculation of crystalline TaAl2Cd at its relaxed geometry, from Alexandria via LeMat-Bulk.

abc: 10.480 2.912 4.946
angles: 90.00 114.36 90.00
Space group Cm (No. 8)
One atom of each set of equivalent atoms:
Ta 0.000 0.000 0.000
Al 0.243 0.500 0.070
Al 0.493 0.000 0.480
Cd 0.248 0.000 0.579

Summary:
Its total magnetization is 0.0 Bohr magnetons per cell. The calculation puts the energy of formation at -0.03 eV/atom.

The following is a PBEsol calculation of crystalline AlCdTc4 at its relaxed geometry, from Alexandria via LeMat-Bulk.

abc: 7.214 7.214 7.214
angles: 90.00 90.00 90.00
Space group F-43m (No. 216)
One atom of each set of equivalent atoms:
Al 0.000 0.000 0.000
Cd 0.250 0.250 0.750
Tc 0.125 0.125 0.375

Summary:
Its total magnetization is 0.0 Bohr magnetons per cell. The calculation puts the energy of formation at 0.33 eV/atom.

The following is a PBEsol calculation of crystalline AlCdTc2 at its relaxed geometry, from Alexandria via LeMat-Bulk.

abc: 5.383 8.754 2.704
angles: 90.00 107.02 90.00
Space group C2/m (No. 12)
One atom of each set of equivalent atoms:
Al 0.000 0.000 0.000
Cd 0.000 0.500 0.000
Tc 0.250 0.250 0.500

Summary:
Its total magnetization is 0.0 Bohr magnetons per cell. The calculation puts the energy of formation at 0.27 eV/atom.

The following is a PBEsol calculation of crystalline Al2CdTc at its relaxed geometry, from Alexandria via LeMat-Bulk.

abc: 3.929 3.929 8.054
angles: 90.00 90.00 90.00
Space group I4/mmm (No. 139)
One atom of each set of equivalent atoms:
Al 0.000 0.500 0.250
Cd 0.000 0.000 0.000
Tc 0.000 0.000 0.500

Summary:
Its total magnetization is 1.0 Bohr magnetons per cell. The calculation puts the energy of formation at -0.06 eV/atom.

The following is a PBEsol calculation of crystalline AlTlCd3 at its relaxed geometry, from Alexandria via LeMat-Bulk.

abc: 5.413 5.413 5.413
angles: 90.00 90.00 90.00
Space group Pm-3m (No. 221)
One atom of each set of equivalent atoms:
Al 0.000 0.000 0.000
Tl 0.500 0.500 0.500
Cd 0.000 0.500 0.500

Summary:
Its total magnetization is 0.0 Bohr magnetons per cell. The calculation puts the energy of formation at 0.72 eV/atom.